Record 1
A plane-wave DFT calculation with PBE was carried out for crystalline Ce2DyNbN5 at its relaxed geometry.

The value obtained for the volume is 553.22 Å³/cell. The calculation puts the electronic total energy at -8.90 eV/atom. As for the formation energy (no corrections): -1.32 eV/atom. For the density of states at the Fermi level, the calculation gives 7.484 states/eV/f.u.

The space group is Cmc2_1 (No. 36) and the conventional cell measures 3.540, 13.756 and 11.359 Å, with angles of 90.00, 90.00 and 90.00 degrees. The asymmetric unit holds Ce at (0.000, 0.129, 0.000), Ce at (0.000, 0.138, 0.521), Dy at (0.000, 0.241, 0.268), Nb at (0.000, 0.492, 0.762), N at (0.000, 0.069, 0.306), N at (0.000, 0.278, 0.920), N at (0.000, 0.281, 0.626), N at (0.000, 0.392, 0.357) and N at (0.000, 0.468, 0.098).

---

Record 2
A plane-wave DFT calculation with PBE was carried out for crystalline Pm3Zn4Ge4 at its relaxed geometry.

The value obtained for the volume is 448.96 Å³/cell. The calculation puts the electronic total energy at -4.01 eV/atom. For the density of states at the Fermi level, the calculation gives 3.809 states/eV/f.u.

The space group is Immm (No. 71) and the conventional cell measures 4.178, 4.241 and 25.341 Å, with angles of 90.00, 90.00 and 90.00 degrees. The asymmetric unit holds Pm at (0.000, 0.000, 0.000), Pm at (0.000, 0.500, 0.144), Zn at (0.000, 0.000, 0.250), Zn at (0.000, 0.500, 0.406), Ge at (0.000, 0.000, 0.451) and Ge at (0.000, 0.500, 0.310).

---

Record 3
A plane-wave DFT calculation with PBE was carried out for crystalline KHfMg6O7 at its relaxed geometry.

The value obtained for the volume is 210.21 Å³/cell. The calculation puts the electronic total energy at -5.95 eV/atom. The relative energy among the computed polymorphs comes out at 26 meV per atom. As for the formation energy (no corrections): -2.26 eV/atom. For the density of states at the Fermi level, the calculation gives 1.909 states/eV/f.u.

The space group is P4mm (No. 99) and the conventional cell measures 4.121, 4.121 and 12.380 Å, with angles of 90.00, 90.00 and 90.00 degrees. The asymmetric unit holds K at (0.000, 0.000, 0.000), Hf at (0.500, 0.500, 0.861), Mg at (0.000, 0.000, 0.460), Mg at (0.000, 0.500, 0.261), Mg at (0.000, 0.500, 0.662), Mg at (0.500, 0.500, 0.466), O at (0.000, 0.000, 0.619), O at (0.000, 0.500, 0.427), O at (0.000, 0.500, 0.824), O at (0.500, 0.500, 0.014) and O at (0.500, 0.500, 0.632).

---

Record 4
A plane-wave DFT calculation with PBE was carried out for crystalline Th4Zn3In at its relaxed geometry.

The value obtained for the volume is 208.27 Å³/cell. The calculation puts the electronic total energy at -4.68 eV/atom. For the density of states at the Fermi level, the calculation gives 6.062 states/eV/f.u.

The space group is P4/mmm (No. 123) and the conventional cell measures 5.287, 5.287 and 7.452 Å, with angles of 90.00, 90.00 and 90.00 degrees. The asymmetric unit holds Th at (0.000, 0.500, 0.242), Zn at (0.000, 0.000, 0.000), Zn at (0.000, 0.000, 0.500), Zn at (0.500, 0.500, 0.000) and In at (0.500, 0.500, 0.500).